## Dy8TlOs2 (GGA-PBE)

Data for Dy8TlOs2 after structural relaxation.

Structure (extended XYZ):
```
11
Lattice="4.3933 -6.5613 0.0000 4.3933 6.5613 0.0000 -1.2575 0.0000 5.3311" Properties=species:S:1:pos:R:3 pbc="T T T"
Dy 1.0015 1.7637 3.0967
Dy 4.3933 3.3044 0.0000
Dy 1.0015 -1.7637 3.0967
Dy 3.1210 0.0000 1.0849
Dy 4.4080 0.0000 4.2461
Dy 6.5275 1.7637 2.2344
Dy 4.3933 -3.3044 0.0000
Dy 6.5275 -1.7637 2.2344
Tl 0.0000 0.0000 0.0000
Os 3.7645 2.4282 2.6655
Os 3.7645 -2.4282 2.6655
```

Output
Space-group type: C2/m, No. 12
Spin magnetization, μB/cell: 0.00
Formation energy from the elements, meV per atom: -197
DFT total energy, hartree per atom: -0.2132

## KNaGeO3 (GGA-PBE)

Data for KNaGeO3 after structural relaxation.

Structure (extended XYZ):
```
12
Lattice="2.9130 -5.5467 0.0000 2.9130 5.5467 0.0000 0.0000 0.0000 5.3933" Properties=species:S:1:pos:R:3 pbc="T T T"
K 2.9130 2.8726 4.0450
K 2.9130 -2.8726 1.3483
Na 2.9130 4.6223 1.3483
Na 2.9130 -4.6223 4.0450
Ge 2.9130 0.5840 1.3483
Ge 2.9130 -0.5840 4.0450
O 1.6776 0.0000 0.0000
O 1.6776 0.0000 2.6967
O 2.9130 2.3411 1.3483
O 2.9130 -2.3411 4.0450
O 4.1484 0.0000 0.0000
O 4.1484 0.0000 2.6967
```

Output
Space-group type: Cmcm, No. 63
Spin magnetization, μB/cell: 0.00
Formation energy (no corrections), eV/atom: -1.738
DFT total energy, hartree per atom: -0.1980

## Mn2FeRu2 (GGA-PBE)

Data for Mn2FeRu2 after structural relaxation.

Structure (extended XYZ):
```
5
Lattice="2.0847 -5.7564 0.0000 2.0847 5.7564 0.0000 0.0000 0.0000 2.6188" Properties=species:S:1:pos:R:3 pbc="T T T"
Mn 2.0847 3.5630 0.0000
Mn 2.0847 -3.5630 0.0000
Fe 0.0000 0.0000 1.3094
Ru 2.0847 1.4168 1.3094
Ru 2.0847 -1.4168 1.3094
```

Output
Space-group type: Cmmm, No. 65
Spin magnetization, μB/cell: 1.50
Formation energy from the elements, meV per atom: 171
DFT total energy, hartree per atom: -0.3271
Excess energy over the best structure of this formula in the dataset, eV/f.u.: 0.00

## HoErSnPt (GGA-PBE)

Data for HoErSnPt after structural relaxation.

Structure (extended XYZ):
```
4
Lattice="0.0000 3.6170 3.6170 3.6170 0.0000 3.6170 3.6170 3.6170 0.0000" Properties=species:S:1:pos:R:3 pbc="T T T"
Ho 0.0000 0.0000 0.0000
Er 3.6170 3.6170 3.6170
Sn 1.8085 1.8085 1.8085
Pt 5.4254 5.4254 5.4254
```

Output
Space-group type: F-43m, No. 216
Spin magnetization, μB/cell: 0.00
Formation energy from the elements, meV per atom: -863
DFT total energy, hartree per atom: -0.2080

## Rb2PrNpS4 (GGA-PBE)

Data for Rb2PrNpS4 after structural relaxation.

Structure (extended XYZ):
```
8
Lattice="7.2829 0.0000 0.0000 0.0000 4.1992 0.0000 -2.4354 0.0000 7.6972" Properties=species:S:1:pos:R:3 pbc="T T T"
Rb 0.0000 0.0000 0.0000
Rb 3.6414 2.0996 0.0000
Pr -1.2177 2.0996 3.8486
Np 2.4238 0.0000 3.8486
S 0.0405 0.0000 5.3713
S 1.2692 2.0996 2.3707
S 3.5783 2.0996 5.3265
S 4.8070 0.0000 2.3258
```

Output
Space-group type: P2/m, No. 10
Spin magnetization, μB/cell: 4.00
Formation energy (no corrections), eV/atom: -1.577
DFT total energy, hartree per atom: -0.2241

## Nb2H2Pb (GGA-PBE)

Data for Nb2H2Pb after structural relaxation.

Structure (extended XYZ):
```
5
Lattice="-1.8182 1.8182 4.9767 1.8182 -1.8182 4.9767 1.8182 1.8182 -4.9767" Properties=species:S:1:pos:R:3 pbc="T T T"
Nb 0.0000 0.0000 1.6769
Nb 0.0000 0.0000 8.2765
H 1.8182 0.0000 2.4883
H 0.0000 1.8182 2.4883
Pb 0.0000 0.0000 4.9767
```

Output
Space-group type: I4/mmm, No. 139
Spin magnetization, μB/cell: 0.00
DFT total energy, hartree per atom: -0.2229

> What is the DFT total energy in the first record?

-0.2132 hartree per atom

What did the sixth record say?
## Nb2H2Pb (GGA-PBE)

Data for Nb2H2Pb after structural relaxation.

Structure (extended XYZ):
```
5
Lattice="-1.8182 1.8182 4.9767 1.8182 -1.8182 4.9767 1.8182 1.8182 -4.9767" Properties=species:S:1:pos:R:3 pbc="T T T"
Nb 0.0000 0.0000 1.6769
Nb 0.0000 0.0000 8.2765
H 1.8182 0.0000 2.4883
H 0.0000 1.8182 2.4883
Pb 0.0000 0.0000 4.9767
```

Output
Space-group type: I4/mmm, No. 139
Spin magnetization, μB/cell: 0.00
DFT total energy, hartree per atom: -0.2229